1.
First-principles (PBE) data for an optimized crystal structure of Y2HgMo, as listed in the Alexandria database.

```
data_Y2HgMo
_cell_length_a 3.5308
_cell_length_b 3.5885
_cell_length_c 7.5285
_cell_angle_alpha 90.00
_cell_angle_beta 90.06
_cell_angle_gamma 90.00
_space_group_name_H-M_alt 'P 1'
_space_group_IT_number 1
_space_group_name_Hall 'P 1'
loop_
_atom_site_label
_atom_site_type_symbol
_atom_site_fract_x
_atom_site_fract_y
_atom_site_fract_z
Y1 Y 0.0006 0.0000 0.2738
Y2 Y 0.9994 0.0000 0.7262
Hg1 Hg 0.5000 0.5000 0.0000
Mo1 Mo 0.5000 0.5000 0.5000
```

Summary:
volume	23.85	Å³ per atom
energy of formation from the pure elements	-8	meV per atom
total moment	0.00	μB per formula unit
symmetry	P2/m
final energy	-6.023	eV/atom
theoretical density	8.257	Mg/m³

***

2.
First-principles (PBE) data for an optimized crystal structure of Y4HgMo, as listed in the Alexandria database.

```
data_Y4HgMo
_cell_length_a 6.0665
_cell_length_b 6.0665
_cell_length_c 6.0665
_cell_angle_alpha 60.00
_cell_angle_beta 60.00
_cell_angle_gamma 60.00
_space_group_name_H-M_alt 'P 1'
_space_group_IT_number 1
_space_group_name_Hall 'P 1'
loop_
_atom_site_label
_atom_site_type_symbol
_atom_site_fract_x
_atom_site_fract_y
_atom_site_fract_z
Y1 Y 0.3760 0.3760 0.3760
Y2 Y 0.3760 0.3760 0.8720
Y3 Y 0.3760 0.8720 0.3760
Y4 Y 0.8720 0.3760 0.3760
Hg1 Hg 0.0000 0.0000 0.0000
Mo1 Mo 0.7500 0.7500 0.7500
```

Summary:
volume	26.31	Å³ per atom
energy of formation from the pure elements	752	meV per atom
total moment	0.00	μB per formula unit
symmetry	F-43m
final energy	-5.413	eV/atom
theoretical density	6.860	Mg/m³

***

3.
First-principles (PBE) data for an optimized crystal structure of YHgMo2, as listed in the Alexandria database.

```
data_YHgMo2
_cell_length_a 4.7991
_cell_length_b 4.7991
_cell_length_c 4.7991
_cell_angle_alpha 60.00
_cell_angle_beta 60.00
_cell_angle_gamma 60.00
_space_group_name_H-M_alt 'P 1'
_space_group_IT_number 1
_space_group_name_Hall 'P 1'
loop_
_atom_site_label
_atom_site_type_symbol
_atom_site_fract_x
_atom_site_fract_y
_atom_site_fract_z
Y1 Y 0.0000 0.0000 0.0000
Hg1 Hg 0.7500 0.7500 0.7500
Mo1 Mo 0.2500 0.2500 0.2500
Mo2 Mo 0.5000 0.5000 0.5000
```

Summary:
volume	19.54	Å³ per atom
energy of formation from the pure elements	368	meV per atom
total moment	0.00	μB per formula unit
symmetry	F-43m
final energy	-6.739	eV/atom
theoretical density	10.227	Mg/m³

***

4.
First-principles (PBE) data for an optimized crystal structure of Y2HgMo, as listed in the Alexandria database.

```
data_Y2HgMo
_cell_length_a 5.1676
_cell_length_b 5.1676
_cell_length_c 3.5489
_cell_angle_alpha 90.00
_cell_angle_beta 90.00
_cell_angle_gamma 90.00
_space_group_name_H-M_alt 'P 1'
_space_group_IT_number 1
_space_group_name_Hall 'P 1'
loop_
_atom_site_label
_atom_site_type_symbol
_atom_site_fract_x
_atom_site_fract_y
_atom_site_fract_z
Y1 Y 0.0000 0.5000 0.0000
Y2 Y 0.5000 0.0000 0.0000
Hg1 Hg 0.0000 0.0000 0.5000
Mo1 Mo 0.5000 0.5000 0.5000
```

Summary:
volume	23.69	Å³ per atom
energy of formation from the pure elements	88	meV per atom
total moment	1.33	μB per formula unit
symmetry	P4/mmm
final energy	-5.928	eV/atom
theoretical density	8.311	Mg/m³

***

5.
First-principles (PBE) data for an optimized crystal structure of YHgMo, as listed in the Alexandria database.

```
data_YHgMo
_cell_length_a 7.8845
_cell_length_b 7.8845
_cell_length_c 3.6052
_cell_angle_alpha 90.00
_cell_angle_beta 90.00
_cell_angle_gamma 142.48
_space_group_name_H-M_alt 'P 1'
_space_group_IT_number 1
_space_group_name_Hall 'P 1'
loop_
_atom_site_label
_atom_site_type_symbol
_atom_site_fract_x
_atom_site_fract_y
_atom_site_fract_z
Y1 Y 0.0959 0.9041 0.7500
Y2 Y 0.9041 0.0959 0.2500
Hg1 Hg 0.2737 0.7263 0.2500
Hg2 Hg 0.7263 0.2737 0.7500
Mo1 Mo 0.4425 0.5575 0.7500
Mo2 Mo 0.5575 0.4425 0.2500
```

Summary:
volume	22.75	Å³ per atom
energy of formation from the pure elements	49	meV per atom
total moment	0.00	μB per formula unit
symmetry	Cmcm
final energy	-5.816	eV/atom
theoretical density	9.378	Mg/m³
energy relative to the lowest polymorph listed for this composition	0.0	meV per atom

***

6.
First-principles (PBE) data for an optimized crystal structure of YHgMo2, as listed in the Alexandria database.

```
data_YHgMo2
_cell_length_a 3.0751
_cell_length_b 5.0931
_cell_length_c 5.2444
_cell_angle_alpha 90.00
_cell_angle_beta 93.77
_cell_angle_gamma 90.00
_space_group_name_H-M_alt 'P 1'
_space_group_IT_number 1
_space_group_name_Hall 'P 1'
loop_
_atom_site_label
_atom_site_type_symbol
_atom_site_fract_x
_atom_site_fract_y
_atom_site_fract_z
Y1 Y 0.0000 0.0000 0.0000
Hg1 Hg 0.5000 0.0000 0.5000
Mo1 Mo 0.3433 0.5000 0.7828
Mo2 Mo 0.6567 0.5000 0.2172
```

Summary:
volume	20.49	Å³ per atom
energy of formation from the pure elements	437	meV per atom
total moment	0.00	μB per formula unit
symmetry	P2/m
final energy	-6.670	eV/atom
theoretical density	9.753	Mg/m³